1.
An optimized crystal structure of Th12Ni5Sn. Source: Alexandria, functional PBE-GGA.

```
Th12Ni5Sn
1.0
-4.6670 4.7312 5.3361
4.6670 -4.7312 5.3361
4.6670 4.7312 -5.3361
Th Ni Sn
12 5 1
Direct
0.0393 0.2181 0.8212
0.1907 0.3024 0.4931
0.1907 0.6976 0.8883
0.3254 0.0212 0.6958
0.3254 0.6297 0.3042
0.3969 0.2181 0.1788
0.6031 0.7819 0.8212
0.6746 0.3703 0.6958
0.6746 0.9788 0.3042
0.8093 0.3024 0.1117
0.8093 0.6976 0.5069
0.9607 0.7819 0.1788
0.0000 0.0000 0.0000
0.1235 0.6235 0.5000
0.3602 0.0000 0.3602
0.6398 0.0000 0.6398
0.8765 0.3765 0.5000
0.5000 0.5000 0.0000
```

Output
* space-group type: Immm (71)
* V: 26.18 Å³/atom
* E_form: -22 kJ per mole of atoms
* uncorrected energy: -7.00 eV per atom


2.
An optimized crystal structure of KTcOs2. Source: Alexandria, functional PBE-GGA.

```
KTcOs2
1.0
5.0662 0.0000 0.0000
0.0000 5.0662 0.0000
0.0000 0.0000 2.6653
K Tc Os
1 1 2
Direct
0.0000 0.0000 0.0000
0.5000 0.5000 0.0000
0.0000 0.5000 0.5000
0.5000 0.0000 0.5000
```

Output
* E above lowest polymorph: 977 meV per atom
* space-group type: P4/mmm (123)
* V: 17.10 Å³/atom
* E_form: 161 kJ per mole of atoms
* uncorrected energy: -6.82 eV per atom


3.
An optimized crystal structure of In2SiPd6. Source: Alexandria, functional PBE-GGA.

```
In2SiPd6
1.0
6.4314 -3.4372 0.0000
6.4314 3.4372 0.0000
-1.1928 0.0000 3.7439
In Si Pd
2 1 6
Direct
0.1483 0.1483 0.1480
0.8517 0.8517 0.8520
0.5000 0.5000 0.5000
0.1210 0.5509 0.3360
0.2954 0.7046 0.0000
0.4491 0.8790 0.6640
0.5509 0.1210 0.3360
0.7046 0.2954 0.0000
0.8790 0.4491 0.6640
```

Output
* space-group type: C2/m (12)
* V: 18.39 Å³/atom
* ΔE_f (raw): -41.7 kJ per mole of atoms
* uncorrected energy: -5.11 eV per atom


4.
An optimized crystal structure of CoNi2Ag. Source: Alexandria, functional PBE-GGA.

```
CoNi2Ag
1.0
2.6480 0.0000 0.0000
0.0000 2.6480 0.0000
0.0000 0.0000 7.2360
Co Ni Ag
1 2 1
Direct
0.0000 0.0000 0.0000
0.5000 0.5000 0.2187
0.5000 0.5000 0.7813
0.0000 0.0000 0.5000
```

Output
* E above lowest polymorph: 0 meV per atom
* space-group type: P4/mmm (123)
* V: 12.68 Å³/atom
* E_form: 16 kJ per mole of atoms
* uncorrected energy: -5.22 eV per atom